Record 1
Material: PaAgBi2
Method: DFT, GGA-PBE
State: relaxed

The value obtained for the magnetic moment is 0.0 μB per formula unit. For the energy of formation, the calculation gives 0.419 eV per formula unit.

The space group is R-3m (No. 166, hexagonal axes) and the conventional cell measures 3.3792, 3.3792 and 33.7346 Å, with angles of 90.00, 90.00 and 120.00 degrees. Symmetry generates all atoms from Pa at (0.0000, 0.0000, 0.0000), Ag at (0.0000, 0.0000, 0.5000) and Bi at (0.0000, 0.0000, 0.4149).


Record 2
Material: PaAgBi2
Method: DFT, GGA-PBE
State: relaxed

The value obtained for the magnetic moment is 0.0 μB per formula unit. For the energy of formation, the calculation gives 0.401 eV per formula unit.

The space group is Fm-3m (No. 225) and the conventional cell measures 7.562, 7.562 and 7.562 Å, with angles of 90.00, 90.00 and 90.00 degrees. Symmetry generates all atoms from Pa at (0.000, 0.000, 0.000), Ag at (0.000, 0.000, 0.500) and Bi at (0.250, 0.250, 0.250).


Record 3
Material: Pa2AgBi
Method: DFT, GGA-PBE
State: relaxed

The value obtained for the magnetic moment is 3.5 μB per formula unit. For the energy of formation, the calculation gives 1.056 eV per formula unit. The offset from the most stable computed form comes out at 181 meV per atom.

The space group is Fm-3m (No. 225) and the conventional cell measures 7.511, 7.511 and 7.511 Å, with angles of 90.00, 90.00 and 90.00 degrees. Symmetry generates all atoms from Pa at (0.250, 0.250, 0.250), Ag at (0.000, 0.000, 0.000) and Bi at (0.000, 0.000, 0.500).


Record 4
Material: Pa2AgBi3
Method: DFT, GGA-PBE
State: relaxed

The value obtained for the magnetic moment is 1.8 μB per formula unit. For the energy of formation, the calculation gives 0.607 eV per formula unit.

The space group is Immm (No. 71) and the conventional cell measures 4.512, 6.259 and 13.286 Å, with angles of 90.00, 90.00 and 90.00 degrees. Symmetry generates all atoms from Pa at (0.000, 0.000, 0.166), Ag at (0.000, 0.000, 0.500), Bi at (0.000, 0.500, 0.163) and Bi at (0.000, 0.500, 0.500).